(1)
A relaxed structure of BiSbIr, computed with PBE.

Calculated values
As for the crystal system: monoclinic. As for the density: 11.96 g/cm3. The value obtained for the size of the total moment is 0.0 μB/cell.

Lattice parameters (Å, degrees): 6.8482 6.7622 6.9268 90.00 115.14 90.00
With the nearest neighbours (Å) after each atom.
Fractional positions:
Bi1 0.1487 0.1371 0.3751  3 Ir 2.80-2.82, 1 Sb 2.99
Bi2 0.1487 0.3629 0.8751  3 Ir 2.80-2.82, 1 Sb 2.99
Bi3 0.8513 0.6371 0.1249  3 Ir 2.80-2.82, 1 Sb 2.99
Bi4 0.8513 0.8629 0.6249  3 Ir 2.80-2.82, 1 Sb 2.99
Sb1 0.3478 0.6398 0.6736  3 Ir 2.63-2.64
Sb2 0.3478 0.8602 0.1736  3 Ir 2.63-2.64
Sb3 0.6522 0.1398 0.8264  3 Ir 2.63-2.64
Sb4 0.6522 0.3602 0.3264  3 Ir 2.63-2.64
Ir1 0.2828 0.5074 0.2944  3 Sb 2.63-2.64, 3 Bi 2.80-2.82
Ir2 0.2828 0.9926 0.7944  3 Sb 2.63-2.64, 3 Bi 2.80-2.82
Ir3 0.7172 0.0074 0.2056  3 Sb 2.63-2.64, 3 Bi 2.80-2.82
Ir4 0.7172 0.4926 0.7056  3 Sb 2.63-2.64, 3 Bi 2.80-2.82



(2)
A relaxed structure of LaDyNO, computed with PBE.

Calculated values
As for the crystal system: orthorhombic. As for the density: 7.51 g/cm3. The value obtained for the size of the total moment is 1.5 μB/cell.

Lattice parameters (Å, degrees): 8.3593 6.9298 5.0601 90.00 90.00 90.00
With the nearest neighbours (Å) after each atom.
Fractional positions:
La1 0.1296 0.0664 0.2500  1 N 2.37, 4 O 2.42-2.56
La2 0.1296 0.4336 0.7500  1 N 2.37, 4 O 2.42-2.56
La3 0.8704 0.5664 0.2500  1 N 2.37, 4 O 2.42-2.56
La4 0.8704 0.9336 0.7500  1 N 2.37, 4 O 2.42-2.56
Dy1 0.3814 0.5872 0.2500  4 N 2.27-2.53, 1 O 2.27
Dy2 0.3814 0.9128 0.7500  4 N 2.27-2.53, 1 O 2.27
Dy3 0.6186 0.0872 0.2500  4 N 2.27-2.53, 1 O 2.27
Dy4 0.6186 0.4128 0.7500  4 N 2.27-2.53, 1 O 2.27
N1 0.3850 0.5810 0.7500  4 Dy 2.27-2.53, 1 La 2.37
N2 0.3850 0.9190 0.2500  4 Dy 2.27-2.53, 1 La 2.37
N3 0.6150 0.0810 0.7500  4 Dy 2.27-2.53, 1 La 2.37
N4 0.6150 0.4190 0.2500  4 Dy 2.27-2.53, 1 La 2.37
O1 0.1501 0.0856 0.7500  1 Dy 2.27, 3 La 2.42-2.54
O2 0.1501 0.4144 0.2500  1 Dy 2.27, 3 La 2.42-2.54
O3 0.8499 0.5856 0.7500  1 Dy 2.27, 3 La 2.42-2.54
O4 0.8499 0.9144 0.2500  1 Dy 2.27, 3 La 2.42-2.54



(3)
A relaxed structure of HfTlNiW, computed with PBE.

Calculated values
As for the crystal system: cubic. As for the density: 14.46 g/cm3. The value obtained for the size of the total moment is 0.8 μB/cell.

Lattice parameters (Å, degrees): 4.6654 4.6654 4.6654 60.00 60.00 60.00
With the nearest neighbours (Å) after each atom.
Fractional positions:
Hf1 0.0000 0.0000 0.0000  4 W 2.86, 4 Tl 2.86
Tl1 0.2500 0.2500 0.2500  4 Hf 2.86, 4 Ni 2.86
Ni1 0.5000 0.5000 0.5000  4 Tl 2.86, 4 W 2.86
W1 0.7500 0.7500 0.7500  4 Hf 2.86, 4 Ni 2.86



Number 1: total DFT energy (no corrections) -5.89 eV/atom. Number 2: total DFT energy (no corrections) -7.86 eV/atom. Number 3: total DFT energy (no corrections) -7.05 eV/atom.